[1]
A relaxed LiBC crystal. Source: the Alexandria database, functional PBE.

## Properties
ρ: 2.089 g cm⁻³
final energy: -6.1945 eV/atom
total magnetization: 0.00 Bohr magnetons per cell

a b c (Å): 7.1792 4.5329 4.5329
angles (deg): 115.93 142.37 37.63
Closest atoms and distances in Å follow each position.
Fractional positions:
1 Li 0.7468 0.4987 0.5013  6 B 2.39-2.40, 6 C 2.40-2.42
2 Li 0.2532 0.5013 0.4987  6 B 2.39-2.40, 6 C 2.40-2.42
3 C 0.5000 0.8446 0.8446  1 C 1.49, 2 B 1.58
4 C 0.5000 0.1554 0.1554  1 C 1.49, 2 B 1.58
5 B 0.0000 0.1791 0.1791  2 C 1.58, 1 B 1.72
6 B 0.0000 0.8209 0.8209  2 C 1.58, 1 B 1.72

[2]
A relaxed Ac2Pr4Er crystal. Source: the Alexandria database, functional PBE.

## Properties
excess energy over the best structure of this formula in the dataset: 0 meV/atom
ρ: 7.442 g cm⁻³
final energy: -4.5219 eV/atom
total magnetization: 0.00 Bohr magnetons per cell

a b c (Å): 5.3580 6.4700 8.4683
angles (deg): 97.73 89.98 65.58
Closest atoms and distances in Å follow each position.
Fractional positions:
1 Pr 0.1412 0.7178 0.5745  8 Pr 3.72-3.79, 1 Er 3.74, 3 Ac 3.76-3.79
2 Pr 0.8588 0.2822 0.4255  8 Pr 3.72-3.79, 1 Er 3.74, 3 Ac 3.76-3.79
3 Pr 0.4282 0.1436 0.7089  6 Pr 3.69-3.77, 4 Ac 3.74-3.81, 2 Er 3.82
4 Pr 0.5718 0.8564 0.2911  6 Pr 3.69-3.77, 4 Ac 3.74-3.81, 2 Er 3.82
5 Ac 0.2873 0.4250 0.1442  7 Pr 3.74-3.81, 3 Er 3.74-3.77, 2 Ac 3.82
6 Ac 0.7127 0.5750 0.8558  7 Pr 3.74-3.81, 3 Er 3.74-3.77, 2 Ac 3.82
7 Er 0.0000 0.0000 0.0000  6 Pr 3.74-3.82, 6 Ac 3.74-3.77

[3]
A relaxed Dy9Ho4Al11 crystal. Source: the Alexandria database, functional PBE.

## Properties
ρ: 6.988 g cm⁻³
final energy: -4.5299 eV/atom
total magnetization: 0.00 Bohr magnetons per cell

a b c (Å): 3.3609 13.5325 13.5325
angles (deg): 110.95 90.00 90.00
Closest atoms and distances in Å follow each position.
Fractional positions:
1 Ho 0.5000 0.2415 0.4074  6 Al 3.12-3.29, 3 Dy 3.27-3.33, 2 Ho 3.36
2 Ho 0.5000 0.5926 0.7585  6 Al 3.12-3.29, 3 Dy 3.27-3.33, 2 Ho 3.36
3 Ho 0.5000 0.7585 0.5926  6 Al 3.12-3.29, 3 Dy 3.27-3.33, 2 Ho 3.36
4 Ho 0.5000 0.4074 0.2415  6 Al 3.12-3.29, 3 Dy 3.27-3.33, 2 Ho 3.36
5 Al 0.0000 0.3788 0.6212  6 Dy 3.18-3.34, 4 Ho 3.29, 2 Al 3.36
6 Al 0.0000 0.4122 0.0407  1 Al 2.95, 6 Dy 3.12-3.19, 2 Ho 3.22
7 Al 0.0000 0.2022 0.2022  4 Dy 3.07, 3 Al 3.10-3.36, 4 Ho 3.12
8 Al 0.0000 0.6212 0.3788  6 Dy 3.18-3.34, 4 Ho 3.29, 2 Al 3.36
9 Al 0.0000 0.5878 0.9593  1 Al 2.95, 6 Dy 3.12-3.19, 2 Ho 3.22
10 Al 0.0000 0.1872 0.8128  8 Dy 3.10-3.12, 2 Al 3.36
11 Al 0.0000 0.9593 0.5878  1 Al 2.95, 6 Dy 3.12-3.19, 2 Ho 3.22
12 Al 0.0000 0.0407 0.4122  1 Al 2.95, 6 Dy 3.12-3.19, 2 Ho 3.22
13 Al 0.0000 0.8128 0.1872  8 Dy 3.10-3.12, 2 Al 3.36
14 Al 0.0000 0.7978 0.7978  4 Dy 3.07, 3 Al 3.10-3.36, 4 Ho 3.12
15 Al 0.0000 0.0000 0.0000  4 Al 3.10-3.36, 8 Dy 3.18
16 Dy 0.5000 0.9873 0.7963  8 Al 3.07-3.19, 3 Dy 3.32-3.36, 1 Ho 3.33
17 Dy 0.5000 0.8374 0.3871  8 Al 3.10-3.34, 1 Ho 3.32, 3 Dy 3.36-3.44
18 Dy 0.5000 0.0127 0.2037  8 Al 3.07-3.19, 3 Dy 3.32-3.36, 1 Ho 3.33
19 Dy 0.5000 0.3871 0.8374  8 Al 3.10-3.34, 1 Ho 3.32, 3 Dy 3.36-3.44
20 Dy 0.5000 0.6129 0.1626  8 Al 3.10-3.34, 1 Ho 3.32, 3 Dy 3.36-3.44
21 Dy 0.5000 0.7963 0.9873  8 Al 3.07-3.19, 3 Dy 3.32-3.36, 1 Ho 3.33
22 Dy 0.5000 0.2037 0.0127  8 Al 3.07-3.19, 3 Dy 3.32-3.36, 1 Ho 3.33
23 Dy 0.5000 0.1626 0.6129  8 Al 3.10-3.34, 1 Ho 3.32, 3 Dy 3.36-3.44
24 Dy 0.5000 0.5000 0.5000  4 Al 3.18, 4 Ho 3.27, 2 Dy 3.36

[4]
A relaxed YTlRe crystal. Source: the Alexandria database, functional PBE.

## Properties
excess energy over the best structure of this formula in the dataset: 57 meV/atom
ρ: 12.213 g cm⁻³
final energy: -6.6102 eV/atom
total magnetization: 0.00 Bohr magnetons per cell

a b c (Å): 4.9948 4.9948 3.0176
angles (deg): 90.00 90.00 120.00
Closest atoms and distances in Å follow each position.
Fractional positions:
1 Re 0.0000 0.0000 0.1660  3 Tl 2.88, 2 Re 3.02
2 Y 0.3333 0.6667 0.6670  2 Y 3.02, 6 Re 3.25-3.26, 6 Tl 3.25
3 Tl 0.6667 0.3333 0.1670  3 Re 2.88, 2 Tl 3.02

[5]
A relaxed YTmCuPd crystal. Source: the Alexandria database, functional PBE.

## Properties
excess energy over the best structure of this formula in the dataset: 30 meV/atom
ρ: 8.459 g cm⁻³
final energy: -5.6398 eV/atom
total magnetization: 0.00 Bohr magnetons per cell

a b c (Å): 4.9154 4.9154 4.9154
angles (deg): 60.00 60.00 60.00
Closest atoms and distances in Å follow each position.
Fractional positions:
1 Y 0.7500 0.7500 0.7500  4 Pd 3.01, 4 Cu 3.01
2 Tm 0.2500 0.2500 0.2500  4 Cu 3.01, 4 Pd 3.01
3 Pd 0.5000 0.5000 0.5000  4 Tm 3.01, 4 Y 3.01
4 Cu 0.0000 0.0000 0.0000  4 Y 3.01, 4 Tm 3.01

[6]
A relaxed WSIN2 crystal. Source: the Alexandria database, functional PBE.

## Properties
excess energy over the best structure of this formula in the dataset: 127 meV/atom
ρ: 6.675 g cm⁻³
final energy: -6.3244 eV/atom
total magnetization: 0.27 Bohr magnetons per cell
E_form (uncorrected): 732 meV per atom

a b c (Å): 3.9129 3.9129 6.0253
angles (deg): 90.00 90.00 90.00
Closest atoms and distances in Å follow each position.
Fractional positions:
1 I 0.0000 0.0000 0.5000  4 S 2.77, 2 W 3.01
2 N 0.0000 0.5000 0.0000  2 W 1.96
3 N 0.5000 0.0000 0.0000  2 W 1.96
4 W 0.0000 0.0000 0.0000  4 N 1.96
5 S 0.5000 0.5000 0.5000  4 I 2.77

[7]
A relaxed TbPrGeIr crystal. Source: the Alexandria database, functional PBE.

## Properties
ρ: 9.807 g cm⁻³
final energy: -6.5037 eV/atom
total magnetization: 0.00 Bohr magnetons per cell

a b c (Å): 4.2211 4.1442 5.8592
angles (deg): 90.00 111.11 90.00
Closest atoms and distances in Å follow each position.
Fractional positions:
1 Tb 0.8653 0.5000 0.7306  4 Ir 3.02, 3 Ge 3.06-3.25
2 Ir 0.4208 0.0000 0.8417  2 Ge 2.62
3 Ge 0.5676 0.5000 0.1353  2 Ir 2.62
4 Pr 0.1462 0.0000 0.2924  3 Ir 3.00-3.24, 4 Ge 3.08

[8]
A relaxed Pm2Pt3 crystal. Source: the Alexandria database, functional PBE.

## Properties
excess energy over the best structure of this formula in the dataset: 2 meV/atom
ρ: 13.446 g cm⁻³
final energy: -6.6060 eV/atom
total magnetization: 0.00 Bohr magnetons per cell

a b c (Å): 5.8601 5.6921 8.1076
angles (deg): 79.28 68.81 59.02
Closest atoms and distances in Å follow each position.
Fractional positions:
1 Pm 0.2294 0.6501 0.8991  8 Pt 2.93-3.22
2 Pm 0.7786 0.3499 0.1009  8 Pt 2.93-3.22
3 Pm 0.6295 0.8499 0.3991  8 Pt 2.93-3.22
4 Pm 0.8785 0.1501 0.6009  8 Pt 2.93-3.22
5 Pt 0.8247 0.6192 0.7435  4 Pt 2.75-2.85, 2 Pm 2.93-3.00
6 Pt 0.3181 0.1192 0.7565  4 Pt 2.75-2.85, 2 Pm 2.93-3.00
7 Pt 0.6098 0.0000 0.0000  4 Pt 2.75-2.83, 2 Pm 2.97
8 Pt 0.3598 0.5000 0.5000  4 Pt 2.75-2.83, 2 Pm 2.97
9 Pt 0.1938 0.8808 0.2435  4 Pt 2.75-2.85, 2 Pm 2.93-3.00
10 Pt 0.1873 0.3808 0.2565  4 Pt 2.75-2.85, 2 Pm 2.93-3.00

[9]
A relaxed NaLi2LaCl6 crystal. Source: the Alexandria database, functional PBE.

## Properties
ρ: 2.598 g cm⁻³
final energy: -4.1322 eV/atom
total magnetization: 0.00 Bohr magnetons per cell
E_form (uncorrected): -2017 meV per atom

a b c (Å): 6.8414 6.8412 7.2886
angles (deg): 62.00 62.01 60.00
Closest atoms and distances in Å follow each position.
Fractional positions:
1 Cl 0.3768 0.7400 0.7500  2 Li 2.51-2.80
2 Cl 0.7398 0.1333 0.7500  2 Li 2.51-2.80, 1 Na 2.81
3 Cl 0.1333 0.3768 0.7500  2 Li 2.51-2.80, 1 Na 2.81
4 Cl 0.8841 0.6258 0.2473  2 Li 2.52-2.80, 1 La 2.79
5 Cl 0.6258 0.2428 0.2473  2 Li 2.52-2.80, 1 La 2.79
6 Cl 0.2428 0.8840 0.2474  2 Li 2.52-2.80, 1 La 2.79
7 La 0.3138 0.3139 0.0585  6 Cl 2.79-2.82
8 Na 0.8102 0.8102 0.5695  6 Cl 2.81-2.90
9 Li 0.0170 0.0170 0.9488  6 Cl 2.51-2.80
10 Li 0.5178 0.5178 0.4464  6 Cl 2.52-2.80

[10]
A relaxed Fe3GeCl9 crystal. Source: the Alexandria database, functional PBE.

## Properties
ρ: 2.379 g cm⁻³
final energy: -4.3106 eV/atom
total magnetization: 26.00 Bohr magnetons per cell
E_form (uncorrected): -724 meV per atom

a b c (Å): 9.0131 9.8878 10.8429
angles (deg): 76.15 65.44 62.89
Closest atoms and distances in Å follow each position.
Fractional positions:
1 Cl 0.1703 0.0827 0.7051  1 Fe 2.26, 1 Ge 2.54
2 Cl 0.3972 0.3031 0.9225  1 Fe 2.21
3 Cl 0.8091 0.0008 0.7196  2 Fe 2.29-2.31
4 Cl 0.8505 0.4407 0.8674  1 Fe 2.21
5 Cl 0.0717 0.5646 0.5307  2 Fe 2.29-2.32
6 Cl 0.8329 0.0646 0.0307  2 Fe 2.29-2.32
7 Cl 0.7460 0.3974 0.5883  2 Fe 2.30-2.32
8 Cl 0.4705 0.5008 0.2196  2 Fe 2.29-2.31
9 Cl 0.2683 0.8974 0.0883  2 Fe 2.30-2.32
10 Cl 0.7173 0.7382 0.0735  1 Fe 2.27
11 Cl 0.5838 0.7827 0.6973  1 Fe 2.23
12 Cl 0.4709 0.2382 0.5735  1 Fe 2.27
13 Cl 0.8414 0.9407 0.3674  1 Fe 2.21
14 Cl 0.9362 0.2827 0.1973  1 Fe 2.23
15 Cl 0.0419 0.5827 0.2051  1 Fe 2.26, 1 Ge 2.54
16 Cl 0.3079 0.1969 0.3420  1 Fe 2.24
17 Cl 0.3772 0.8031 0.4225  1 Fe 2.21
18 Cl 0.1532 0.6969 0.8420  1 Fe 2.24
19 Fe 0.0012 0.9499 0.8285  4 Cl 2.24-2.29
20 Fe 0.8035 0.5506 0.6767  4 Cl 2.21-2.32
21 Fe 0.2204 0.4499 0.3285  4 Cl 2.24-2.29
22 Fe 0.9692 0.0506 0.1767  4 Cl 2.21-2.32
23 Fe 0.4452 0.7445 0.2162  4 Cl 2.21-2.32
24 Fe 0.5941 0.2445 0.7162  4 Cl 2.21-2.32
25 Ge 0.0174 0.5052 0.0100  4 Cl 2.54-2.76
26 Ge 0.4673 0.0052 0.5100  4 Cl 2.54-2.76

Repeat the seventh record exactly.
A relaxed TbPrGeIr crystal. Source: the Alexandria database, functional PBE.

## Properties
ρ: 9.807 g cm⁻³
final energy: -6.5037 eV/atom
total magnetization: 0.00 Bohr magnetons per cell

a b c (Å): 4.2211 4.1442 5.8592
angles (deg): 90.00 111.11 90.00
Closest atoms and distances in Å follow each position.
Fractional positions:
1 Tb 0.8653 0.5000 0.7306  4 Ir 3.02, 3 Ge 3.06-3.25
2 Ir 0.4208 0.0000 0.8417  2 Ge 2.62
3 Ge 0.5676 0.5000 0.1353  2 Ir 2.62
4 Pr 0.1462 0.0000 0.2924  3 Ir 3.00-3.24, 4 Ge 3.08

Repeat the third record exactly.
A relaxed Dy9Ho4Al11 crystal. Source: the Alexandria database, functional PBE.

## Properties
ρ: 6.988 g cm⁻³
final energy: -4.5299 eV/atom
total magnetization: 0.00 Bohr magnetons per cell

a b c (Å): 3.3609 13.5325 13.5325
angles (deg): 110.95 90.00 90.00
Closest atoms and distances in Å follow each position.
Fractional positions:
1 Ho 0.5000 0.2415 0.4074  6 Al 3.12-3.29, 3 Dy 3.27-3.33, 2 Ho 3.36
2 Ho 0.5000 0.5926 0.7585  6 Al 3.12-3.29, 3 Dy 3.27-3.33, 2 Ho 3.36
3 Ho 0.5000 0.7585 0.5926  6 Al 3.12-3.29, 3 Dy 3.27-3.33, 2 Ho 3.36
4 Ho 0.5000 0.4074 0.2415  6 Al 3.12-3.29, 3 Dy 3.27-3.33, 2 Ho 3.36
5 Al 0.0000 0.3788 0.6212  6 Dy 3.18-3.34, 4 Ho 3.29, 2 Al 3.36
6 Al 0.0000 0.4122 0.0407  1 Al 2.95, 6 Dy 3.12-3.19, 2 Ho 3.22
7 Al 0.0000 0.2022 0.2022  4 Dy 3.07, 3 Al 3.10-3.36, 4 Ho 3.12
8 Al 0.0000 0.6212 0.3788  6 Dy 3.18-3.34, 4 Ho 3.29, 2 Al 3.36
9 Al 0.0000 0.5878 0.9593  1 Al 2.95, 6 Dy 3.12-3.19, 2 Ho 3.22
10 Al 0.0000 0.1872 0.8128  8 Dy 3.10-3.12, 2 Al 3.36
11 Al 0.0000 0.9593 0.5878  1 Al 2.95, 6 Dy 3.12-3.19, 2 Ho 3.22
12 Al 0.0000 0.0407 0.4122  1 Al 2.95, 6 Dy 3.12-3.19, 2 Ho 3.22
13 Al 0.0000 0.8128 0.1872  8 Dy 3.10-3.12, 2 Al 3.36
14 Al 0.0000 0.7978 0.7978  4 Dy 3.07, 3 Al 3.10-3.36, 4 Ho 3.12
15 Al 0.0000 0.0000 0.0000  4 Al 3.10-3.36, 8 Dy 3.18
16 Dy 0.5000 0.9873 0.7963  8 Al 3.07-3.19, 3 Dy 3.32-3.36, 1 Ho 3.33
17 Dy 0.5000 0.8374 0.3871  8 Al 3.10-3.34, 1 Ho 3.32, 3 Dy 3.36-3.44
18 Dy 0.5000 0.0127 0.2037  8 Al 3.07-3.19, 3 Dy 3.32-3.36, 1 Ho 3.33
19 Dy 0.5000 0.3871 0.8374  8 Al 3.10-3.34, 1 Ho 3.32, 3 Dy 3.36-3.44
20 Dy 0.5000 0.6129 0.1626  8 Al 3.10-3.34, 1 Ho 3.32, 3 Dy 3.36-3.44
21 Dy 0.5000 0.7963 0.9873  8 Al 3.07-3.19, 3 Dy 3.32-3.36, 1 Ho 3.33
22 Dy 0.5000 0.2037 0.0127  8 Al 3.07-3.19, 3 Dy 3.32-3.36, 1 Ho 3.33
23 Dy 0.5000 0.1626 0.6129  8 Al 3.10-3.34, 1 Ho 3.32, 3 Dy 3.36-3.44
24 Dy 0.5000 0.5000 0.5000  4 Al 3.18, 4 Ho 3.27, 2 Dy 3.36

Please write out number 5 again, unchanged.
A relaxed YTmCuPd crystal. Source: the Alexandria database, functional PBE.

## Properties
excess energy over the best structure of this formula in the dataset: 30 meV/atom
ρ: 8.459 g cm⁻³
final energy: -5.6398 eV/atom
total magnetization: 0.00 Bohr magnetons per cell

a b c (Å): 4.9154 4.9154 4.9154
angles (deg): 60.00 60.00 60.00
Closest atoms and distances in Å follow each position.
Fractional positions:
1 Y 0.7500 0.7500 0.7500  4 Pd 3.01, 4 Cu 3.01
2 Tm 0.2500 0.2500 0.2500  4 Cu 3.01, 4 Pd 3.01
3 Pd 0.5000 0.5000 0.5000  4 Tm 3.01, 4 Y 3.01
4 Cu 0.0000 0.0000 0.0000  4 Y 3.01, 4 Tm 3.01